(1)
Compound: TlP2Au
Source: Alexandria via LeMat-Bulk
Functional: PBE-GGA
Structure: optimized geometry

Lattice parameters (Å, degrees): 5.479 5.479 6.046 112.55 112.55 34.38
Sites, in units of the cell vectors:
Tl  0.000  0.000  0.000
P  0.217  0.217  0.597
P  0.783  0.783  0.403
Au  0.500  0.500  0.500

The calculation puts the formation energy at 0.151 eV/atom. Its symmetry is C2/m, No. 12. Its density of states at the Fermi level is 0.88 states/eV per cell. For the energy above the most stable polymorph in this dataset, the calculation gives 0.1810 eV per atom.

(2)
Compound: LaPm2SnC
Source: Alexandria via LeMat-Bulk
Functional: PBE-GGA
Structure: optimized geometry

Lattice parameters (Å, degrees): 5.093 5.093 5.172 90.00 90.00 90.00
Sites, in units of the cell vectors:
La  0.000  0.000  0.000
Pm  0.000  0.500  0.500
Pm  0.500  0.000  0.500
Sn  0.500  0.500  0.000
C  0.000  0.000  0.500

The calculation puts the formation energy at -0.494 eV/atom. Its symmetry is P4/mmm, No. 123. Its density of states at the Fermi level is 2.70 states/eV per cell.

(3)
Compound: Sr5Li4Ca
Source: Alexandria via LeMat-Bulk
Functional: PBE-GGA
Structure: optimized geometry

Lattice parameters (Å, degrees): 4.254 4.254 22.106 90.00 90.00 90.00
Sites, in units of the cell vectors:
Sr  0.000  0.000  0.000
Sr  0.000  0.000  0.189
Sr  0.000  0.000  0.378
Sr  0.000  0.000  0.622
Sr  0.000  0.000  0.811
Li  0.500  0.500  0.095
Li  0.500  0.500  0.285
Li  0.500  0.500  0.715
Li  0.500  0.500  0.905
Ca  0.500  0.500  0.500

The calculation puts the formation energy at 0.025 eV/atom. Its symmetry is P4/mmm, No. 123. Its density of states at the Fermi level is 9.65 states/eV per cell.

(4)
Compound: Ca5Ta
Source: Alexandria via LeMat-Bulk
Functional: PBE-GGA
Structure: optimized geometry

Lattice parameters (Å, degrees): 3.509 3.509 16.652 90.00 90.00 90.00
Sites, in units of the cell vectors:
Ca  0.000  0.000  0.000
Ca  0.000  0.000  0.370
Ca  0.000  0.000  0.630
Ca  0.500  0.500  0.181
Ca  0.500  0.500  0.819
Ta  0.500  0.500  0.500

The calculation puts the formation energy at 0.411 eV/atom. Its symmetry is P4/mmm, No. 123. Its density of states at the Fermi level is 8.71 states/eV per cell. For the energy above the most stable polymorph in this dataset, the calculation gives 0.0000 eV per atom.

(5)
Compound: Rb2LaCuCl6
Source: Alexandria via LeMat-Bulk
Functional: PBE-GGA
Structure: optimized geometry

Lattice parameters (Å, degrees): 7.248 7.346 7.651 100.25 110.38 114.69
Sites, in units of the cell vectors:
Rb  0.000  0.000  0.000
Rb  0.000  0.442  0.595
La  0.496  0.727  0.307
Cu  0.635  0.267  0.936
Cl  0.019  0.566  0.057
Cl  0.360  0.404  0.444
Cl  0.431  0.429  0.967
Cl  0.575  0.036  0.644
Cl  0.605  0.047  0.135
Cl  0.946  0.855  0.528

Its symmetry is P1, No. 1. Its density of states at the Fermi level is 0.00 states/eV per cell. Its uncorrected formation energy is -175.3 kJ/mol of atoms. For the energy above the most stable polymorph in this dataset, the calculation gives 0.0000 eV per atom.

(6)
Compound: AlAsAu
Source: Alexandria via LeMat-Bulk
Functional: PBE-GGA
Structure: optimized geometry

Lattice parameters (Å, degrees): 6.269 6.153 3.080 77.74 73.57 28.69
Sites, in units of the cell vectors:
Al  0.000  0.000  0.000
As  0.346  0.346  0.654
Au  0.645  0.645  0.355

The calculation puts the formation energy at 0.038 eV/atom. Its symmetry is Fmm2, No. 42. Its density of states at the Fermi level is 1.10 states/eV per cell. For the energy above the most stable polymorph in this dataset, the calculation gives 0.1426 eV per atom.